Below is a PBEsol-optimized structure of KC2, with properties calculated at the SCAN level.

Cell and atoms, written as CIF:
```
data_KC2
_cell_length_a 4.134
_cell_length_b 4.134
_cell_length_c 11.716
_cell_angle_alpha 90.00
_cell_angle_beta 90.00
_cell_angle_gamma 90.00
_symmetry_space_group_name_H-M 'I 41/a m d'
_symmetry_Int_Tables_number 141
loop_
_symmetry_equiv_pos_as_xyz
'x,y,z'
'-x,-y,-z'
'-y+1/4,x+3/4,z+1/4'
'y+1/4,-x+3/4,-z+1/4'
'-x+1/2,-y,z+1/2'
'x+1/2,y,-z+1/2'
'y+1/4,-x+1/4,z+3/4'
'-y+1/4,x+1/4,-z+3/4'
'x,-y,-z'
'-x,y,z'
'-y+1/4,-x+1/4,-z+3/4'
'y+1/4,x+1/4,z+3/4'
'-x+1/2,y,-z+1/2'
'x+1/2,-y,z+1/2'
'y+1/4,x+3/4,-z+1/4'
'-y+1/4,-x+3/4,z+1/4'
'x+1/2,y+1/2,z+1/2'
'-x+1/2,-y+1/2,-z+1/2'
'-y+3/4,x+1/4,z+3/4'
'y+3/4,-x+1/4,-z+3/4'
'-x,-y+1/2,z'
'x,y+1/2,-z'
'y+3/4,-x+3/4,z+1/4'
'-y+3/4,x+3/4,-z+1/4'
'x+1/2,-y+1/2,-z+1/2'
'-x+1/2,y+1/2,z+1/2'
'-y+3/4,-x+3/4,-z+1/4'
'y+3/4,x+3/4,z+1/4'
'-x,y+1/2,-z'
'x,-y+1/2,z'
'y+3/4,x+1/4,-z+3/4'
'-y+3/4,-x+1/4,z+3/4'
loop_
_atom_site_label
_atom_site_type_symbol
_atom_site_fract_x
_atom_site_fract_y
_atom_site_fract_z
K1 K 0.000 0.250 0.375
C1 C 0.000 0.250 0.821
```

Computed properties:
- Distance to the lowest polymorph of the same formula: 817.8 meV per atom
- ΔH_f (0 K): 1251.1 meV/atom

=====

Below is a PBEsol-optimized structure of CsReI2O, with properties calculated at the SCAN level.

Cell and atoms, written as CIF:
```
data_CsReI2O
_cell_length_a 5.885
_cell_length_b 5.885
_cell_length_c 3.819
_cell_angle_alpha 90.00
_cell_angle_beta 90.00
_cell_angle_gamma 90.00
_symmetry_space_group_name_H-M 'P 4/m m m'
_symmetry_Int_Tables_number 123
_symmetry_space_group_name_Hall '-P 4 2'
loop_
_atom_site_label
_atom_site_type_symbol
_atom_site_fract_x
_atom_site_fract_y
_atom_site_fract_z
Cs1 Cs 0.000 0.000 0.000
Re1 Re 0.500 0.500 0.500
I1 I 0.000 0.500 0.500
O1 O 0.500 0.500 0.000
```

Computed properties:
- ΔE_f (raw): -262 kJ/mol of formula units

=====

Below is a PBEsol-optimized structure of NiAsRh, with properties calculated at the SCAN level.

Cell and atoms, written as CIF:
```
data_NiAsRh
_cell_length_a 5.546
_cell_length_b 5.546
_cell_length_c 5.546
_cell_angle_alpha 90.00
_cell_angle_beta 90.00
_cell_angle_gamma 90.00
_symmetry_space_group_name_H-M 'F -4 3 m'
_symmetry_Int_Tables_number 216
_symmetry_space_group_name_Hall 'F -4 2 3'
loop_
_atom_site_label
_atom_site_type_symbol
_atom_site_fract_x
_atom_site_fract_y
_atom_site_fract_z
Ni1 Ni 0.000 0.000 0.000
As1 As 0.250 0.250 0.250
Rh1 Rh 0.000 0.000 0.500
```

Computed properties:
- ΔH_f (0 K): -417.1 meV/atom

=====

Below is a PBEsol-optimized structure of Si3Ni, with properties calculated at the SCAN level.

Cell and atoms, written as CIF:
```
data_Si3Ni
_cell_length_a 3.484
_cell_length_b 4.059
_cell_length_c 7.128
_cell_angle_alpha 90.00
_cell_angle_beta 90.00
_cell_angle_gamma 90.00
_symmetry_space_group_name_H-M 'I m m m'
_symmetry_Int_Tables_number 71
_symmetry_space_group_name_Hall '-I 2 2'
loop_
_atom_site_label
_atom_site_type_symbol
_atom_site_fract_x
_atom_site_fract_y
_atom_site_fract_z
Si1 Si 0.000 0.000 0.000
Si2 Si 0.000 0.500 0.247
Ni1 Ni 0.000 0.000 0.500
```

Computed properties:
- ΔE_f (raw): 113 kJ/mol of formula units

=====

Below is a PBEsol-optimized structure of RbZnSb2Cl, with properties calculated at the SCAN level.

Cell and atoms, written as CIF:
```
data_RbZnSb2Cl
_cell_length_a 7.541
_cell_length_b 7.541
_cell_length_c 5.890
_cell_angle_alpha 90.00
_cell_angle_beta 90.00
_cell_angle_gamma 90.00
_symmetry_space_group_name_H-M 'P 4/m m m'
_symmetry_Int_Tables_number 123
_symmetry_space_group_name_Hall '-P 4 2'
loop_
_atom_site_label
_atom_site_type_symbol
_atom_site_fract_x
_atom_site_fract_y
_atom_site_fract_z
Rb1 Rb 0.000 0.000 0.000
Zn1 Zn 0.500 0.500 0.500
Sb1 Sb 0.000 0.500 0.000
Cl1 Cl 0.000 0.000 0.500
```

Computed properties:
- ΔE_f (raw): 342 kJ/mol of formula units

=====

Below is a PBEsol-optimized structure of B2MoWF, with properties calculated at the SCAN level.

Cell and atoms, written as CIF:
```
data_B2MoWF
_cell_length_a 4.155
_cell_length_b 4.155
_cell_length_c 3.807
_cell_angle_alpha 90.00
_cell_angle_beta 90.00
_cell_angle_gamma 90.00
_symmetry_space_group_name_H-M 'P 4/m m m'
_symmetry_Int_Tables_number 123
_symmetry_space_group_name_Hall '-P 4 2'
loop_
_atom_site_label
_atom_site_type_symbol
_atom_site_fract_x
_atom_site_fract_y
_atom_site_fract_z
B1 B 0.000 0.500 0.000
Mo1 Mo 0.000 0.000 0.500
W1 W 0.500 0.500 0.000
F1 F 0.500 0.500 0.500
```

Computed properties:
- ΔE_f (raw): 379 kJ/mol of formula units

=====

Below is a PBEsol-optimized structure of Cs3KBr, with properties calculated at the SCAN level.

Cell and atoms, written as CIF:
```
data_Cs3KBr
_cell_length_a 7.185
_cell_length_b 7.185
_cell_length_c 7.185
_cell_angle_alpha 90.00
_cell_angle_beta 90.00
_cell_angle_gamma 90.00
_symmetry_space_group_name_H-M 'P m -3 m'
_symmetry_Int_Tables_number 221
_symmetry_space_group_name_Hall '-P 4 2 3'
loop_
_atom_site_label
_atom_site_type_symbol
_atom_site_fract_x
_atom_site_fract_y
_atom_site_fract_z
Cs1 Cs 0.000 0.000 0.500
K1 K 0.500 0.500 0.500
Br1 Br 0.000 0.000 0.000
```

Computed properties:
- ΔE_f (raw): -372 kJ/mol of formula units

=====

Below is a PBEsol-optimized structure of ScSBrCl2, with properties calculated at the SCAN level.

Cell and atoms, written as CIF:
```
data_ScSBrCl2
_cell_length_a 4.732
_cell_length_b 4.732
_cell_length_c 5.344
_cell_angle_alpha 90.00
_cell_angle_beta 90.00
_cell_angle_gamma 90.00
_symmetry_space_group_name_H-M 'P 4/m m m'
_symmetry_Int_Tables_number 123
_symmetry_space_group_name_Hall '-P 4 2'
loop_
_atom_site_label
_atom_site_type_symbol
_atom_site_fract_x
_atom_site_fract_y
_atom_site_fract_z
Sc1 Sc 0.000 0.000 0.000
S1 S 0.000 0.000 0.500
Br1 Br 0.500 0.500 0.500
Cl1 Cl 0.000 0.500 0.000
```

Computed properties:
- ΔE_f (raw): -538 kJ/mol of formula units

=====

Total magnetic moment
In order: 0.000, 1.205, 0.025, 0.000, 5.986, 2.777, 0.239, 0.000
Unit: μB/f.u.
E_tot
In order: -24.78, -191.34, -71.39, -45.05, -113.21, -119.04, -145.07, -64.86
Unit: eV/f.u.